# 1
Here is an optimized crystal structure of Tb3HoC8 from Alexandria. Energies are from GGA-PBE.

Output
- Crystal system: monoclinic
- D(E_F): 4.090 states/eV per cell
- Total energy: -7.625 eV/atom
- Mass density: 6658 kg/m3

```
Tb3HoC8
1.0
6.254 0.000 1.247
-3.032 5.041 2.314
0.189 0.000 5.874
C Tb Ho
8 3 1
direct
0.631 0.559 0.235
0.608 0.648 0.405
0.960 0.352 0.053
0.073 0.441 0.794
0.392 0.000 0.148
0.428 0.000 0.923
0.078 0.000 0.620
0.880 0.000 0.601
0.707 0.507 0.835
0.200 0.493 0.342
0.520 0.000 0.502
0.023 0.000 0.042
```

# 2
Here is an optimized crystal structure of Tb3HoC2 from Alexandria. Energies are from GGA-PBE.

Output
- Crystal system: trigonal
- D(E_F): 8.976 states/eV per cell
- Total energy: -6.402 eV/atom
- Mass density: 7913 kg/m3

```
Tb3HoC2
1.0
6.311 0.000 0.000
0.000 6.192 -3.575
0.000 0.000 7.150
Tb Ho C
6 2 4
direct
0.217 0.333 0.167
0.783 0.167 0.833
0.217 0.833 0.667
0.783 0.167 0.333
0.783 0.667 0.833
0.217 0.833 0.167
0.210 0.333 0.667
0.790 0.667 0.333
0.000 0.000 0.500
0.000 0.500 0.000
0.000 0.000 0.000
0.000 0.500 0.500
```

# 3
Here is an optimized crystal structure of TbHo3C from Alexandria. Energies are from GGA-PBE.

Output
- Crystal system: cubic
- D(E_F): 5.232 states/eV per cell
- Total energy: -5.538 eV/atom
- Mass density: 8710 kg/m3

```
TbHo3C
1.0
-4.423 1.673 -1.701
-2.305 -3.923 2.135
-0.617 2.659 4.220
Ho C Tb
3 1 1
direct
0.000 0.500 0.000
0.000 0.000 0.500
0.500 0.000 0.000
0.000 0.000 0.000
0.500 0.500 0.500
```

# 4
Here is an optimized crystal structure of Tb2Ho4C from Alexandria. Energies are from GGA-PBE.

Output
- Crystal system: tetragonal
- D(E_F): 9.300 states/eV per cell
- Total energy: -5.131 eV/atom
- Mass density: 8006 kg/m3

```
Tb2Ho4C
1.0
4.823 0.000 0.000
0.000 4.823 0.000
2.412 2.412 8.823
Ho Tb C
4 2 1
direct
0.000 0.500 0.000
0.134 0.134 0.732
0.500 0.000 0.000
0.866 0.866 0.268
0.674 0.674 0.653
0.326 0.326 0.347
0.000 0.000 0.000
```

Computed values of energy of formation from the pure elements (unit: eV per formula unit) for the preceding records, in sequence: 0.8, -1.5, -0.1, 0.9.